i.
The following is a DFT calculation (meta-GGA SCAN) of BaBeW at its PBEsol-relaxed geometry.

Geometry as POSCAR:
```
BaBeW
1.0
4.844 0.000 0.000
-2.422 4.195 0.000
0.000 0.000 3.013
Ba Be W
1 1 1
Direct
0.000 0.000 0.000
0.333 0.667 0.500
0.667 0.333 0.500
```

Computed properties:
crystal system = hexagonal



ii.
The following is a DFT calculation (meta-GGA SCAN) of BaBeW at its PBEsol-relaxed geometry.

Geometry as POSCAR:
```
BaBeW
1.0
6.574 0.000 0.000
0.000 6.574 0.000
0.000 0.000 6.574
Ba Be W
4 4 4
Direct
0.000 0.000 0.000
0.000 0.500 0.500
0.500 0.000 0.500
0.500 0.500 0.000
0.000 0.000 0.500
0.000 0.500 0.000
0.500 0.000 0.000
0.500 0.500 0.500
0.250 0.250 0.250
0.250 0.750 0.750
0.750 0.250 0.750
0.750 0.750 0.250
```

Computed properties:
crystal system = cubic



i is favored, and the nearest alternative lies 353 meV/atom above it.



i.
The following is a DFT calculation (meta-GGA SCAN) of BaZrBe2 at its PBEsol-relaxed geometry.

Geometry as POSCAR:
```
BaZrBe2
1.0
3.593 0.000 0.000
0.000 4.119 0.000
0.000 0.000 11.939
Ba Zr Be
2 2 4
Direct
0.000 0.000 0.000
0.500 0.500 0.500
0.000 0.500 0.231
0.500 0.000 0.731
0.000 0.000 0.352
0.000 0.500 0.762
0.500 0.000 0.262
0.500 0.500 0.852
```

Computed properties:
crystal system = orthorhombic



ii.
The following is a DFT calculation (meta-GGA SCAN) of BaZrBe2 at its PBEsol-relaxed geometry.

Geometry as POSCAR:
```
BaZrBe2
1.0
6.764 0.000 0.000
0.000 6.764 0.000
0.000 0.000 6.764
Ba Zr Be
4 4 8
Direct
0.000 0.000 0.000
0.000 0.500 0.500
0.500 0.000 0.500
0.500 0.500 0.000
0.250 0.250 0.750
0.250 0.750 0.250
0.750 0.250 0.250
0.750 0.750 0.750
0.000 0.000 0.500
0.000 0.500 0.000
0.250 0.250 0.250
0.250 0.750 0.750
0.500 0.000 0.000
0.500 0.500 0.500
0.750 0.250 0.750
0.750 0.750 0.250
```

Computed properties:
crystal system = cubic



i is favored, and the nearest alternative lies 615 meV/atom above it.



i.
The following is a DFT calculation (meta-GGA SCAN) of BaCu2BiCl at its PBEsol-relaxed geometry.

Geometry as POSCAR:
```
BaCu2BiCl
1.0
5.499 0.000 0.000
0.000 5.499 0.000
0.000 0.000 5.457
Ba Cu Bi Cl
1 2 1 1
Direct
0.000 0.000 0.000
0.000 0.500 0.000
0.500 0.000 0.000
0.500 0.500 0.500
0.000 0.000 0.500
```

Computed properties:
crystal system = tetragonal



ii.
The following is a DFT calculation (meta-GGA SCAN) of BaCu2BiCl at its PBEsol-relaxed geometry.

Geometry as POSCAR:
```
BaCu2BiCl
1.0
4.864 0.000 0.000
0.000 4.864 0.000
0.000 0.000 5.724
Ba Cu Bi Cl
1 2 1 1
Direct
0.000 0.000 0.000
0.000 0.500 0.500
0.500 0.000 0.500
0.500 0.500 0.000
0.500 0.500 0.500
```

Computed properties:
crystal system = tetragonal



ii is favored, and the nearest alternative lies 355 meV/atom above it.



i.
The following is a DFT calculation (meta-GGA SCAN) of BaMg2Bi2 at its PBEsol-relaxed geometry.

Geometry as POSCAR:
```
BaMg2Bi2
1.0
4.632 0.000 0.000
0.000 4.632 0.000
0.000 0.000 14.820
Ba Mg Bi
2 4 4
Direct
0.000 0.000 0.000
0.500 0.500 0.500
0.000 0.500 0.250
0.000 0.500 0.750
0.500 0.000 0.250
0.500 0.000 0.750
0.000 0.000 0.376
0.000 0.000 0.624
0.500 0.500 0.124
0.500 0.500 0.876
```

Computed properties:
crystal system = tetragonal



ii.
The following is a DFT calculation (meta-GGA SCAN) of BaMg2Bi2 at its PBEsol-relaxed geometry.

Geometry as POSCAR:
```
BaMg2Bi2
1.0
4.871 0.000 0.000
-2.435 4.218 0.000
0.000 0.000 8.206
Ba Mg Bi
1 2 2
Direct
0.000 0.000 0.000
0.333 0.667 0.623
0.667 0.333 0.377
0.333 0.667 0.261
0.667 0.333 0.739
```

Computed properties:
crystal system = trigonal



ii is favored, and the nearest alternative lies 13 meV/atom above it.



i.
The following is a DFT calculation (meta-GGA SCAN) of BaSr2Bi2 at its PBEsol-relaxed geometry.

Geometry as POSCAR:
```
BaSr2Bi2
1.0
6.225 0.000 0.000
0.000 6.225 0.000
0.000 0.000 11.242
Ba Sr Bi
2 4 4
Direct
0.000 0.000 0.000
0.500 0.500 0.500
0.000 0.000 0.330
0.000 0.000 0.670
0.500 0.500 0.170
0.500 0.500 0.830
0.000 0.500 0.250
0.000 0.500 0.750
0.500 0.000 0.250
0.500 0.000 0.750
```

Computed properties:
crystal system = tetragonal



ii.
The following is a DFT calculation (meta-GGA SCAN) of BaSr2Bi2 at its PBEsol-relaxed geometry.

Geometry as POSCAR:
```
BaSr2Bi2
1.0
9.479 0.000 0.000
0.000 9.479 0.000
0.000 0.000 4.295
Ba Sr Bi
2 4 4
Direct
0.000 0.000 0.000
0.500 0.500 0.000
0.137 0.363 0.500
0.363 0.863 0.500
0.637 0.137 0.500
0.863 0.637 0.500
0.163 0.663 0.000
0.337 0.163 0.000
0.663 0.837 0.000
0.837 0.337 0.000
```

Computed properties:
crystal system = tetragonal



ii is favored, and the nearest alternative lies 270 meV/atom above it.



i.
The following is a DFT calculation (meta-GGA SCAN) of Ba3Br at its PBEsol-relaxed geometry.

Geometry as POSCAR:
```
Ba3Br
1.0
4.180 0.000 0.000
0.000 12.687 0.000
0.000 0.000 7.585
Ba Br
6 2
Direct
0.000 0.000 0.000
0.000 0.186 0.473
0.000 0.814 0.473
0.500 0.314 0.973
0.500 0.500 0.500
0.500 0.686 0.973
0.000 0.500 0.155
0.500 0.000 0.655
```

Computed properties:
crystal system = orthorhombic



ii.
The following is a DFT calculation (meta-GGA SCAN) of Ba3Br at its PBEsol-relaxed geometry.

Geometry as POSCAR:
```
Ba3Br
1.0
4.314 0.000 0.000
-2.157 3.736 0.000
0.000 0.000 12.003
Ba Br
3 1
Direct
0.000 0.000 0.000
0.667 0.333 0.300
0.667 0.333 0.700
0.000 0.000 0.500
```

Computed properties:
crystal system = hexagonal



ii is favored, and the nearest alternative lies 67 meV/atom above it.



i.
The following is a DFT calculation (meta-GGA SCAN) of Ba2Br at its PBEsol-relaxed geometry.

Geometry as POSCAR:
```
Ba2Br
1.0
3.952 0.000 0.000
0.000 21.002 0.000
0.000 0.000 5.683
Ba Br
8 4
Direct
0.000 0.076 0.250
0.000 0.208 0.750
0.000 0.792 0.250
0.000 0.924 0.750
0.500 0.292 0.250
0.500 0.424 0.750
0.500 0.576 0.250
0.500 0.708 0.750
0.000 0.439 0.250
0.000 0.561 0.750
0.500 0.061 0.750
0.500 0.939 0.250
```

Computed properties:
crystal system = orthorhombic



ii.
The following is a DFT calculation (meta-GGA SCAN) of Ba2Br at its PBEsol-relaxed geometry.

Geometry as POSCAR:
```
Ba2Br
1.0
4.362 0.000 0.000
0.000 18.251 0.000
0.000 0.000 6.734
Ba Br
8 4
Direct
0.000 0.058 0.250
0.000 0.338 0.250
0.000 0.662 0.750
0.000 0.942 0.750
0.500 0.162 0.750
0.500 0.442 0.750
0.500 0.558 0.250
0.500 0.838 0.250
0.000 0.302 0.750
0.000 0.698 0.250
0.500 0.198 0.250
0.500 0.802 0.750
```

Computed properties:
crystal system = orthorhombic



ii is favored, and the nearest alternative lies 184 meV/atom above it.



i.
The following is a DFT calculation (meta-GGA SCAN) of BaCd2Br at its PBEsol-relaxed geometry.

Geometry as POSCAR:
```
BaCd2Br
1.0
7.933 0.000 0.000
0.000 7.933 0.000
0.000 0.000 7.933
Ba Cd Br
4 8 4
Direct
0.000 0.000 0.000
0.000 0.500 0.500
0.500 0.000 0.500
0.500 0.500 0.000
0.250 0.250 0.250
0.250 0.250 0.750
0.250 0.750 0.250
0.250 0.750 0.750
0.750 0.250 0.250
0.750 0.250 0.750
0.750 0.750 0.250
0.750 0.750 0.750
0.000 0.000 0.500
0.000 0.500 0.000
0.500 0.000 0.000
0.500 0.500 0.500
```

Computed properties:
crystal system = cubic



ii.
The following is a DFT calculation (meta-GGA SCAN) of BaCd2Br at its PBEsol-relaxed geometry.

Geometry as POSCAR:
```
BaCd2Br
1.0
4.673 0.000 0.000
0.000 4.673 0.000
0.000 0.000 6.204
Ba Cd Br
1 2 1
Direct
0.000 0.000 0.000
0.500 0.500 0.266
0.500 0.500 0.734
0.000 0.000 0.500
```

Computed properties:
crystal system = tetragonal



ii is favored, and the nearest alternative lies 163 meV/atom above it.